# TaCu4Se

A geometry-optimized TaCu4Se structure (PBE, the Alexandria database).

Unit cell a=4.9362 b=4.9362 c=4.9362 alpha=60.00 beta=60.00 gamma=60.00
Element x y z (fractional)
Cu 0.3747 0.3747 0.8759
Ta 0.0000 0.0000 0.0000
Cu 0.3747 0.3747 0.3747
Se 0.7500 0.7500 0.7500
Cu 0.8759 0.3747 0.3747
Cu 0.3747 0.8759 0.3747

Values from the calculation:
total magnetic moment = 0.00 μB per formula unit
crystal system = cubic
symmetry = No. 216
formation energy (no corrections) = 0.303 eV per atom
raw total energy = -29.90 eV for the cell shown
density of states at the Fermi level = 4.2 states/eV/f.u.